{"formula": "K3Zn2CrF9", "functional": "PBE+U", "state": "optimized geometry", "m_tot_mub_per_cell": 4.00, "space_group": "P-3m1", "mass_density_g_cm3": 3.61, "final_energy_ev_per_atom": -4.58, "lattice_angstrom": [[5.8876, 0.0000, 0.0000], [-2.9438, 5.0988, 0.0000], [0.0000, 0.0000, 7.2095]], "species": ["K", "K", "K", "Zn", "Zn", "Cr", "F", "F", "F", "F", "F", "F", "F", "F", "F"], "frac_coords": [[0.0000, 0.0000, 0.0000], [0.3333, 0.6667, 0.6687], [0.6667, 0.3333, 0.3313], [0.3333, 0.6667, 0.1644], [0.6667, 0.3333, 0.8356], [0.0000, 0.0000, 0.5000], [0.0000, 0.5000, 0.0000], [0.1684, 0.3369, 0.3314], [0.1684, 0.8316, 0.3314], [0.3369, 0.1684, 0.6686], [0.5000, 0.0000, 0.0000], [0.5000, 0.5000, 0.0000], [0.6631, 0.8316, 0.3314], [0.8316, 0.1684, 0.6686], [0.8316, 0.6631, 0.6686]]}